Entry i
LaTbAlCd: optimized geometry, PBE-GGA.

Its total magnetic moment is 0.00 μB per formula unit.

It has space group F-43m (No. 216), with a = 7.586 Å, b = 7.586 Å, c = 7.586 Å, α = 90.00°, β = 90.00° and γ = 90.00°. Symmetry generates all atoms from La at (0.000, 0.000, 0.000), Tb at (0.000, 0.000, 0.500), Al at (0.250, 0.250, 0.250) and Cd at (0.250, 0.250, 0.750).


Entry ii
LaTbAlCd: optimized geometry, PBE-GGA.

Its total magnetic moment is 0.00 μB per formula unit.

It has space group P4mm (No. 99), with a = 3.650 Å, b = 3.650 Å, c = 8.059 Å, α = 90.00°, β = 90.00° and γ = 90.00°. Symmetry generates all atoms from La at (0.000, 0.000, 0.000), Tb at (0.000, 0.000, 0.470), Al at (0.500, 0.500, 0.248) and Cd at (0.500, 0.500, 0.712).


On energetic grounds, entry ii is preferred over the next structure by 0.029 eV/atom.


Entry i
Li6AlCd2: optimized geometry, PBE-GGA.

Its total magnetic moment is 0.00 μB per formula unit.

It has space group P-62m (No. 189), with a = 8.0995 Å, b = 8.0995 Å, c = 2.9171 Å, α = 90.00°, β = 90.00° and γ = 120.00°. Symmetry generates all atoms from Li at (0.0000, 0.3012, 0.0000), Li at (0.0000, 0.6457, 0.5000), Al at (0.0000, 0.0000, 0.5000) and Cd at (0.3333, 0.6667, 0.0000).


Entry ii
Li6AlCd2: optimized geometry, PBE-GGA.

Its total magnetic moment is 0.00 μB per formula unit.

It has space group P6/mmm (No. 191), with a = 7.9513 Å, b = 7.9513 Å, c = 2.8395 Å, α = 90.00°, β = 90.00° and γ = 120.00°. Symmetry generates all atoms from Li at (0.0000, 0.3276, 0.0000), Al at (0.0000, 0.0000, 0.5000) and Cd at (0.3333, 0.6667, 0.5000).


On energetic grounds, entry ii is preferred over the next structure by 0.042 eV/atom.


Entry i
LiAl2Cd2: optimized geometry, PBE-GGA.

Its total magnetic moment is 0.00 μB per formula unit.

It has space group P4/mbm (No. 127), with a = 7.924 Å, b = 7.924 Å, c = 3.330 Å, α = 90.00°, β = 90.00° and γ = 90.00°. Symmetry generates all atoms from Li at (0.000, 0.000, 0.000), Al at (0.119, 0.381, 0.000) and Cd at (0.183, 0.683, 0.500).


Entry ii
LiAl2Cd2: optimized geometry, PBE-GGA.

Its total magnetic moment is 0.00 μB per formula unit.

It has space group I4/mmm (No. 139), with a = 3.947 Å, b = 3.947 Å, c = 13.645 Å, α = 90.00°, β = 90.00° and γ = 90.00°. Symmetry generates all atoms from Li at (0.000, 0.000, 0.000), Al at (0.000, 0.500, 0.250) and Cd at (0.000, 0.000, 0.400).


On energetic grounds, entry ii is preferred over the next structure by 0.047 eV/atom.


Entry i
Li4AlCd: optimized geometry, PBE-GGA.

Its total magnetic moment is 0.01 μB per formula unit.

It has space group F-43m (No. 216), with a = 7.371 Å, b = 7.371 Å, c = 7.371 Å, α = 90.00°, β = 90.00° and γ = 90.00°. Symmetry generates all atoms from Li at (0.124, 0.124, 0.124), Al at (0.250, 0.250, 0.750) and Cd at (0.000, 0.000, 0.500).


Entry ii
Li4AlCd: optimized geometry, PBE-GGA.

Its total magnetic moment is 0.00 μB per formula unit.

It has space group C2/m (No. 12), with a = 9.405 Å, b = 2.811 Å, c = 9.474 Å, α = 90.00°, β = 116.72° and γ = 90.00°. Symmetry generates all atoms from Li at (0.157, 0.000, 0.334), Li at (0.162, 0.500, 0.849), Al at (0.000, 0.000, 0.000) and Cd at (0.000, 0.500, 0.500).


On energetic grounds, entry ii is preferred over the next structure by 0.055 eV/atom.


Entry i
Li2Al2Cd: optimized geometry, PBE-GGA.

Its total magnetic moment is 0.00 μB per formula unit.

It has space group C2/c (No. 15), with a = 9.679 Å, b = 5.198 Å, c = 7.349 Å, α = 90.00°, β = 111.21° and γ = 90.00°. Symmetry generates all atoms from Li at (0.197, 0.154, 0.148), Al at (0.102, 0.331, 0.448) and Cd at (0.000, 0.179, 0.750).


Entry ii
Li2Al2Cd: optimized geometry, PBE-GGA.

Its total magnetic moment is 0.00 μB per formula unit.

It has space group P4/mbm (No. 127), with a = 7.241 Å, b = 7.241 Å, c = 3.358 Å, α = 90.00°, β = 90.00° and γ = 90.00°. Symmetry generates all atoms from Li at (0.150, 0.350, 0.000), Al at (0.145, 0.645, 0.500) and Cd at (0.000, 0.000, 0.000).


On energetic grounds, entry i is preferred over the next structure by 0.154 eV/atom.


Entry i
Li2Al2Cd: optimized geometry, PBE-GGA.

Its total magnetic moment is 0.00 μB per formula unit.

It has space group I4/mmm (No. 139), with a = 3.747 Å, b = 3.747 Å, c = 13.948 Å, α = 90.00°, β = 90.00° and γ = 90.00°. Symmetry generates all atoms from Li at (0.000, 0.000, 0.098), Al at (0.000, 0.500, 0.250) and Cd at (0.000, 0.000, 0.500).


Entry ii
Li2Al2Cd: optimized geometry, PBE-GGA.

Its total magnetic moment is 0.00 μB per formula unit.

It has space group P4/mbm (No. 127), with a = 7.610 Å, b = 7.610 Å, c = 3.079 Å, α = 90.00°, β = 90.00° and γ = 90.00°. Symmetry generates all atoms from Li at (0.175, 0.325, 0.000), Al at (0.123, 0.623, 0.500) and Cd at (0.000, 0.000, 0.500).


Entry iii
Li2Al2Cd: optimized geometry, PBE-GGA.

Its total magnetic moment is 0.00 μB per formula unit.

It has space group I4/mmm (No. 139), with a = 3.789 Å, b = 3.789 Å, c = 13.543 Å, α = 90.00°, β = 90.00° and γ = 90.00°. Symmetry generates all atoms from Li at (0.000, 0.500, 0.250), Al at (0.000, 0.000, 0.097) and Cd at (0.000, 0.000, 0.500).


On energetic grounds, entry ii is preferred over the next structure by 0.088 eV/atom.